(1)
A geometry-optimized Zn6Cr4F19 structure, computed with PBE with a Hubbard U.

abc: 9.126 9.126 9.126
angles: 90.00 90.00 90.00
Space group I23 (No. 197)
Inequivalent atoms, fractional coordinates:
Zn 0.000 0.331 0.500 x12
Cr 0.147 0.147 0.853 x8
F 0.000 0.000 0.000 x2
F 0.000 0.000 0.343 x12
F 0.052 0.313 0.716 x24

Values from the calculation:
* uncorrected energy: -271.1 eV per cell

(2)
A geometry-optimized ZrCr2F11 structure, computed with PBE with a Hubbard U.

abc: 8.425 8.511 10.036
angles: 90.00 90.00 90.00
Space group Ibam (No. 72)
Inequivalent atoms, fractional coordinates:
Zr 0.000 0.000 0.250 x4
Cr 0.164 0.335 0.000 x8
F 0.000 0.500 0.000 x4
F 0.061 0.207 0.136 x16
F 0.187 0.310 0.500 x8
F 0.208 0.060 0.364 x16

Values from the calculation:
* uncorrected energy: -332.3 eV per cell

(3)
A geometry-optimized Zr2CrF structure, computed with PBE with a Hubbard U.

abc: 6.726 6.726 6.726
angles: 90.00 90.00 90.00
Space group Fm-3m (No. 225)
Inequivalent atoms, fractional coordinates:
Zr 0.250 0.250 0.250 x8
Cr 0.000 0.000 0.000 x4
F 0.000 0.000 0.500 x4

Values from the calculation:
* uncorrected energy: -106.5 eV per cell

(4)
A geometry-optimized ZrCr2F8 structure, computed with PBE with a Hubbard U.

abc: 8.633 7.335 5.180
angles: 90.00 103.21 90.00
Space group C2/m (No. 12)
Inequivalent atoms, fractional coordinates:
Zr 0.000 0.000 0.000 x2
Cr 0.174 0.500 0.462 x4
F 0.058 0.500 0.750 x4
F 0.133 0.178 0.267 x8
F 0.173 0.000 0.789 x4

Values from the calculation:
* uncorrected energy: -142.9 eV per cell

(5)
A geometry-optimized ZrCr2F8 structure, computed with PBE with a Hubbard U.

abc: 18.222 3.265 5.759
angles: 90.00 97.83 90.00
Space group C2/m (No. 12)
Inequivalent atoms, fractional coordinates:
Zr 0.000 0.000 0.000 x2
Cr 0.174 0.500 0.599 x4
F 0.006 0.500 0.229 x4
F 0.108 0.000 0.500 x4
F 0.108 0.000 0.992 x4
F 0.242 0.000 0.693 x4

Values from the calculation:
* uncorrected energy: -141.0 eV per cell

(6)
A geometry-optimized ZrCrF3 structure, computed with PBE with a Hubbard U.

abc: 4.373 4.373 4.373
angles: 90.00 90.00 90.00
Space group Pm-3m (No. 221)
Inequivalent atoms, fractional coordinates:
Zr 0.000 0.000 0.000 x1
Cr 0.500 0.500 0.500 x1
F 0.000 0.000 0.500 x3

Values from the calculation:
* uncorrected energy: -31.8 eV per cell

(7)
A geometry-optimized ZrCrF2 structure, computed with PBE with a Hubbard U.

abc: 3.0022 3.0022 26.5080
angles: 90.00 90.00 120.00
Space group R-3m (No. 166, hexagonal axes)
Inequivalent atoms, fractional coordinates:
Zr 0.0000 0.0000 0.0000 x3
Cr 0.0000 0.0000 0.5000 x3
F 0.0000 0.0000 0.3911 x6

Values from the calculation:
* uncorrected energy: -79.1 eV per cell

(8)
A geometry-optimized ZrCrF6 structure, computed with PBE with a Hubbard U.

abc: 10.099 5.956 5.962
angles: 90.00 126.11 90.00
Space group C2/m (No. 12)
Inequivalent atoms, fractional coordinates:
Zr 0.000 0.000 0.000 x2
Cr 0.000 0.500 0.500 x2
F 0.000 0.241 0.241 x8
F 0.248 0.500 0.748 x4

Values from the calculation:
* uncorrected energy: -107.1 eV per cell